(1)
Entry from Alexandria via LeMat-Bulk: crystalline CaP2RhS8 at its relaxed geometry (GGA-PBE).

```
CaP2RhS8
1.0
5.7867 0.0000 0.0000
-2.8934 5.0114 0.0000
0.0000 0.0000 8.4397
Ca P Rh S
1 2 1 8
direct
0.0000 0.0000 0.0000
0.3333 0.6667 0.7368
0.6667 0.3333 0.2632
0.0000 0.0000 0.5000
0.0119 0.6894 0.3202
0.3106 0.3225 0.3202
0.3225 0.0119 0.6798
0.3333 0.6667 0.9775
0.6667 0.3333 0.0225
0.6775 0.9881 0.3202
0.6894 0.6775 0.6798
0.9881 0.3106 0.6798
```

Summary:
For the raw formation energy, the calculation gives -0.44 eV per atom. As for the total moment: 0.00 μB per formula unit. Its density of states at the Fermi level is 12.84 states/eV/f.u. The calculated total energy comes out at -4.87 eV per atom. The space group is No. 147.

(2)
Entry from Alexandria via LeMat-Bulk: crystalline Ca2SbPRh at its relaxed geometry (GGA-PBE).

```
Ca2SbPRh
1.0
5.7750 0.0000 0.0000
0.0000 5.7750 0.0000
0.0000 0.0000 4.8244
Ca Sb P Rh
2 1 1 1
direct
0.0000 0.5000 0.0000
0.5000 0.0000 0.0000
0.0000 0.0000 0.0000
0.5000 0.5000 0.5000
0.0000 0.0000 0.5000
```

Summary:
For the raw formation energy, the calculation gives 0.19 eV per atom. As for the total moment: 1.02 μB per formula unit. Its density of states at the Fermi level is 5.75 states/eV/f.u. The calculated total energy comes out at -3.99 eV per atom. The space group is No. 123.

(3)
Entry from Alexandria via LeMat-Bulk: crystalline CaScP2Rh5 at its relaxed geometry (GGA-PBE).

```
CaScP2Rh5
1.0
4.0993 0.0000 0.0000
0.0000 4.0993 0.0000
0.0000 0.0000 9.9507
Ca Sc P Rh
1 1 2 5
direct
0.0000 0.0000 0.0000
0.0000 0.0000 0.5000
0.5000 0.5000 0.2254
0.5000 0.5000 0.7746
0.0000 0.5000 0.3234
0.0000 0.5000 0.6766
0.5000 0.0000 0.3234
0.5000 0.0000 0.6766
0.5000 0.5000 0.0000
```

Summary:
As for the total moment: 0.00 μB per formula unit. Its density of states at the Fermi level is 5.31 states/eV/f.u. The calculated total energy comes out at -6.86 eV per atom. The space group is No. 123.

(4)
Entry from Alexandria via LeMat-Bulk: crystalline Ca2SiPRh6 at its relaxed geometry (GGA-PBE).

```
Ca2SiPRh6
1.0
0.0000 4.4700 4.4700
4.4700 0.0000 4.4700
4.4700 4.4700 0.0000
Ca Si P Rh
2 1 1 6
direct
0.2500 0.2500 0.2500
0.7500 0.7500 0.7500
0.0000 0.0000 0.0000
0.5000 0.5000 0.5000
0.2530 0.2530 0.7470
0.2530 0.7470 0.2530
0.2530 0.7470 0.7470
0.7470 0.2530 0.2530
0.7470 0.2530 0.7470
0.7470 0.7470 0.2530
```

Summary:
For the raw formation energy, the calculation gives -0.51 eV per atom. As for the total moment: 0.00 μB per formula unit. Its density of states at the Fermi level is 8.45 states/eV/f.u. The calculated total energy comes out at -6.40 eV per atom. The space group is No. 225.

(5)
Entry from Alexandria via LeMat-Bulk: crystalline CaSm2P3Rh12 at its relaxed geometry (GGA-PBE).

```
CaSm2P3Rh12
1.0
4.5063 2.6017 4.2673
-4.5063 2.6017 4.2673
0.0000 -5.2035 4.2673
Ca Sm P Rh
1 2 3 12
direct
0.0000 0.0000 0.0000
0.3708 0.3708 0.3708
0.6292 0.6292 0.6292
0.0000 0.0000 0.5000
0.0000 0.5000 0.0000
0.5000 0.0000 0.0000
0.0921 0.6309 0.6309
0.1776 0.1776 0.6651
0.1776 0.6651 0.1776
0.3349 0.8224 0.8224
0.3691 0.3691 0.9079
0.3691 0.9079 0.3691
0.6309 0.0921 0.6309
0.6309 0.6309 0.0921
0.6651 0.1776 0.1776
0.8224 0.3349 0.8224
0.8224 0.8224 0.3349
0.9079 0.3691 0.3691
```

Summary:
As for the total moment: 0.00 μB per formula unit. Its density of states at the Fermi level is 17.74 states/eV/f.u. The calculated total energy comes out at -6.75 eV per atom. The space group is No. 166.

(6)
Entry from Alexandria via LeMat-Bulk: crystalline Ca3SnP2Rh9 at its relaxed geometry (GGA-PBE).

```
Ca3SnP2Rh9
1.0
6.0825 0.0000 0.0000
-3.0412 5.2676 0.0000
0.0000 0.0000 9.2155
Ca Sn P Rh
3 1 2 9
direct
0.0000 0.0000 0.0000
0.3333 0.6667 0.6882
0.6667 0.3333 0.3118
0.0000 0.0000 0.5000
0.3333 0.6667 0.1586
0.6667 0.3333 0.8414
0.0000 0.5000 0.0000
0.1482 0.2964 0.2656
0.1482 0.8518 0.2656
0.2964 0.1482 0.7344
0.5000 0.0000 0.0000
0.5000 0.5000 0.0000
0.7036 0.8518 0.2656
0.8518 0.1482 0.7344
0.8518 0.7036 0.7344
```

Summary:
As for the total moment: 0.00 μB per formula unit. Its density of states at the Fermi level is 16.67 states/eV/f.u. The calculated total energy comes out at -6.23 eV per atom. The space group is No. 164.

- calculated total energy of number 6 (Ca3SnP2Rh9)?
  -6.23 eV per atom